# SmAl4Au8, optimized geometry, DFT GGA-PBE
data_SmAl4Au8
_cell_length_a 9.2515
_cell_length_b 9.2515
_cell_length_c 5.5234
_cell_angle_alpha 90.00
_cell_angle_beta 90.00
_cell_angle_gamma 90.00
_space_group_name_H-M_alt 'I 4/m m m'
_space_group_IT_number 139
_space_group_name_Hall '-I 4 2'
loop_
_atom_site_label
_atom_site_fract_x
_atom_site_fract_y
_atom_site_fract_z
_atom_site_occupancy
Sm1 0.0000 0.0000 0.0000 1
Al1 0.2500 0.2500 0.2500 1
Au1 0.0000 0.2189 0.5000 1
Au2 0.0000 0.3279 0.0000 1
# Total moment = 0.000 μB/cell
# Raw total energy = -4.004 eV/atom
# Calculated density = 12.884 g cm⁻³